Material: Cs2DyBiO4
Method: DFT, GGA-PBE
State: relaxed

Properties
density of states at the Fermi level: 0.00 states/eV per atom
energy relative to the elements, uncorrected: -15.4 eV per formula unit
density: 7.387 g/cm³
crystal system: monoclinic
total moment: 0.0 μB/f.u.

Lattice parameters (Å, degrees): 3.623 6.303 7.212 106.84 90.00 90.00
Fractional positions:
Cs 0.500 0.000 0.500
Cs 0.000 0.500 0.500
O 0.000 0.711 0.168
O 0.500 0.761 0.826
O 0.500 0.239 0.174
O 0.000 0.289 0.832
Dy 0.500 0.500 0.000
Bi 0.000 0.000 0.000